Below is an optimized crystal structure of GaHgBi, with properties calculated at the GGA-PBE level.

abc: 7.084 7.084 7.084
angles: 151.91 151.91 40.14
Sites, in units of the cell vectors:
Ga (0.000, 0.000, 0.000)
Hg (0.649, 0.649, 0.000)
Bi (0.340, 0.340, 0.000)

Summary:
total magnetization: 0.000 μB per formula unit
symmetry: I4mm, No. 107
DFT formation energy: 86 meV per atom
polymorph energy (0 for the lowest one): 0.71 kcal/mol of atoms